# 1
The following is a DFT calculation (PBE-GGA) of a relaxed SmMgSnH crystal.

Output
Symmetry = No. 129
Raw total energy = -15.87 eV/f.u.

Cell lengths 4.373, 4.373, 8.334 Å; angles 90.00, 90.00, 90.00 degrees
Sites, in units of the cell vectors:
H (0.500, 0.500, 0.000)
H (0.000, 0.000, 0.000)
Sm (0.000, 0.500, 0.875)
Sm (0.500, 0.000, 0.125)
Mg (0.000, 0.000, 0.500)
Mg (0.500, 0.500, 0.500)
Sn (0.500, 0.000, 0.729)
Sn (0.000, 0.500, 0.271)

=====

# 2
The following is a DFT calculation (PBE-GGA) of a relaxed TmGa3Ru3 crystal.

Output
Energy of formation from the pure elements = 0.384 eV/atom
Symmetry = No. 223
Raw total energy = -38.69 eV/f.u.

Cell lengths 6.670, 6.670, 6.670 Å; angles 90.00, 90.00, 90.00 degrees
Sites, in units of the cell vectors:
Ga (0.250, 0.000, 0.500)
Ga (0.000, 0.500, 0.250)
Ga (0.750, 0.000, 0.500)
Ga (0.500, 0.250, 0.000)
Ga (0.500, 0.750, 0.000)
Ga (0.000, 0.500, 0.750)
Ru (0.000, 0.750, 0.500)
Ru (0.000, 0.250, 0.500)
Ru (0.500, 0.000, 0.750)
Ru (0.250, 0.500, 0.000)
Ru (0.750, 0.500, 0.000)
Ru (0.500, 0.000, 0.250)
Tm (0.000, 0.000, 0.000)
Tm (0.500, 0.500, 0.500)

=====

Q: Which of these has the highest raw total energy?
A: SmMgSnH